Compound: CuNi2Ir
Source: Alexandria
Functional: PBE
Structure: relaxed

Properties
E: -6.050 eV per atom
energy of formation from the pure elements: 80 meV per atom
crystal system: trigonal
M_tot: 1.5 μB per cell

```
CuNi2Ir
1.0
-1.1132 -5.4014 -6.4140
-2.5842 -6.6051 -4.6096
-3.6059 -4.6745 -6.0580
Ni Ir Cu
2 1 1
direct
0.9966 0.9966 0.9966 Ni
0.2513 0.2513 0.2513 Ni
0.7482 0.7482 0.7482 Ir
0.5039 0.5039 0.5039 Cu
```